[1]
An optimized crystal structure of K2PuFeO6, computed with PBE with a Hubbard U.

abc: 8.169 8.169 8.169
angles: 90.00 90.00 90.00
Space group Fm-3m (No. 225)
Inequivalent atoms, fractional coordinates:
1 K 0.250 0.250 0.250 [8 per cell]
2 Pu 0.000 0.000 0.000 [4 per cell]
3 Fe 0.000 0.000 0.500 [4 per cell]
4 O 0.000 0.000 0.248 [24 per cell]

Results
VASP energy: -0.529 Ry per atom


[2]
An optimized crystal structure of Np2CrF8, computed with PBE with a Hubbard U.

abc: 15.003 3.713 5.790
angles: 90.00 108.25 90.00
Space group C2/m (No. 12)
Inequivalent atoms, fractional coordinates:
1 Np 0.172 0.000 0.186 [4 per cell]
2 Cr 0.000 0.500 0.500 [2 per cell]
3 F 0.039 0.000 0.333 [4 per cell]
4 F 0.095 0.500 0.957 [4 per cell]
5 F 0.181 0.500 0.465 [4 per cell]
6 F 0.218 0.000 0.830 [4 per cell]

Results
VASP energy: -0.553 Ry per atom


> Which formula does entry 1 have?

K2PuFeO6